Record 1
This record from Alexandria via LeMat-Bulk describes a relaxed Ac4Zn3Au crystal. The functional is GGA-PBE.

a = 3.923 Å, b = 3.923 Å, c = 15.569 Å
α = 90.00°, β = 90.00°, γ = 90.00°
Space group P4/mmm (No. 123)
Symmetry-distinct sites (fractional):
Ac 0.000 0.000 0.125 x2
Ac 0.000 0.000 0.374 x2
Zn 0.500 0.500 0.253 x2
Zn 0.500 0.500 0.500 x1
Au 0.500 0.500 0.000 x1

## Properties
Calculated formation energy ... -0.379 eV/atom
DFT total energy ... -3.320 eV/atom
E above lowest polymorph ... 0.0 kJ per mole of atoms

=====

Record 2
This record from Alexandria via LeMat-Bulk describes a relaxed LiMg3Ti crystal. The functional is GGA-PBE.

a = 4.677 Å, b = 4.677 Å, c = 4.677 Å
α = 90.00°, β = 90.00°, γ = 90.00°
Space group Pm-3m (No. 221)
Symmetry-distinct sites (fractional):
Li 0.000 0.000 0.000 x1
Mg 0.000 0.000 0.500 x3
Ti 0.500 0.500 0.500 x1

## Properties
Calculated formation energy ... 0.529 eV/atom
DFT total energy ... -2.390 eV/atom
E above lowest polymorph ... 0.0 kJ per mole of atoms

=====

Record 3
This record from Alexandria via LeMat-Bulk describes a relaxed NaSnN3 crystal. The functional is GGA-PBE.

a = 4.269 Å, b = 4.269 Å, c = 4.269 Å
α = 90.00°, β = 90.00°, γ = 90.00°
Space group Pm-3m (No. 221)
Symmetry-distinct sites (fractional):
Na 0.000 0.000 0.000 x1
Sn 0.500 0.500 0.500 x1
N 0.000 0.000 0.500 x3

## Properties
E_form (uncorrected) ... 2297.0 meV per atom
DFT total energy ... -3.763 eV/atom

=====

Record 4
This record from Alexandria via LeMat-Bulk describes a relaxed Rb3SF6 crystal. The functional is GGA-PBE.

a = 6.323 Å, b = 6.323 Å, c = 10.667 Å
α = 90.00°, β = 90.00°, γ = 90.00°
Space group I4/mmm (No. 139)
Symmetry-distinct sites (fractional):
Rb 0.000 0.000 0.000 x2
Rb 0.000 0.500 0.250 x4
S 0.000 0.000 0.500 x2
F 0.000 0.000 0.250 x4
F 0.206 0.206 0.500 x8

## Properties
E_form (uncorrected) ... -2105.7 meV per atom
DFT total energy ... -3.932 eV/atom
E above lowest polymorph ... 3.4 kJ per mole of atoms

=====

Record 5
This record from Alexandria via LeMat-Bulk describes a relaxed RbCl crystal. The functional is GGA-PBE.

a = 12.4069 Å, b = 12.4069 Å, c = 5.5660 Å
α = 90.00°, β = 90.00°, γ = 120.00°
Space group P6_3/m (No. 176)
Symmetry-distinct sites (fractional):
Rb 0.0746 0.6679 0.2500 x6
Cl 0.0753 0.4065 0.2500 x6

## Properties
E_form (uncorrected) ... -1837.6 meV per atom
DFT total energy ... -3.245 eV/atom

=====

Record 6
This record from Alexandria via LeMat-Bulk describes a relaxed Ca3TiIn crystal. The functional is GGA-PBE.

a = 5.581 Å, b = 5.581 Å, c = 5.581 Å
α = 90.00°, β = 90.00°, γ = 90.00°
Space group Pm-3m (No. 221)
Symmetry-distinct sites (fractional):
Ca 0.000 0.000 0.500 x3
Ti 0.000 0.000 0.000 x1
In 0.500 0.500 0.500 x1

## Properties
Calculated formation energy ... 0.704 eV/atom
DFT total energy ... -2.624 eV/atom
E above lowest polymorph ... 0.0 kJ per mole of atoms

=====

Record 7
This record from Alexandria via LeMat-Bulk describes a relaxed Cs2KRb2Hg2 crystal. The functional is GGA-PBE.

a = 15.951 Å, b = 7.352 Å, c = 11.179 Å
α = 90.00°, β = 132.45°, γ = 90.00°
Space group C2/m (No. 12)
Symmetry-distinct sites (fractional):
Cs 0.091 0.000 0.355 x4
K 0.000 0.500 0.000 x2
Rb 0.185 0.500 0.796 x4
Hg 0.207 0.000 0.782 x4

## Properties
Calculated formation energy ... -0.111 eV/atom
DFT total energy ... -0.874 eV/atom

=====

Record 8
This record from Alexandria via LeMat-Bulk describes a relaxed Er2Ni4P3Rh crystal. The functional is GGA-PBE.

a = 3.816 Å, b = 3.816 Å, c = 9.911 Å
α = 90.00°, β = 90.00°, γ = 90.00°
Space group P-4m2 (No. 115)
Symmetry-distinct sites (fractional):
Er 0.000 0.500 0.245 x2
Ni 0.000 0.000 0.000 x1
Ni 0.000 0.500 0.654 x2
Ni 0.500 0.500 0.000 x1
P 0.000 0.500 0.872 x2
P 0.500 0.500 0.500 x1
Rh 0.000 0.000 0.500 x1

## Properties
Calculated formation energy ... -0.855 eV/atom
DFT total energy ... -6.438 eV/atom

=====

Record 9
This record from Alexandria via LeMat-Bulk describes a relaxed BaPb3C crystal. The functional is GGA-PBE.

a = 5.287 Å, b = 5.287 Å, c = 5.287 Å
α = 90.00°, β = 90.00°, γ = 90.00°
Space group Pm-3m (No. 221)
Symmetry-distinct sites (fractional):
Ba 0.000 0.000 0.000 x1
Pb 0.000 0.500 0.500 x3
C 0.500 0.500 0.500 x1

## Properties
Calculated formation energy ... 0.626 eV/atom
DFT total energy ... -3.829 eV/atom
E above lowest polymorph ... 0.0 kJ per mole of atoms

=====

Record 10
This record from Alexandria via LeMat-Bulk describes a relaxed NbGeRu crystal. The functional is GGA-PBE.

a = 8.103 Å, b = 4.456 Å, c = 5.523 Å
α = 90.00°, β = 104.31°, γ = 90.00°
Space group Cm (No. 8)
Symmetry-distinct sites (fractional):
Nb 0.000 0.000 0.000 x2
Nb 0.134 0.500 0.703 x2
Ge 0.189 0.500 0.200 x2
Ge 0.293 0.000 0.607 x2
Ru 0.361 0.000 0.129 x2
Ru 0.453 0.500 0.526 x2

## Properties
Calculated formation energy ... -0.224 eV/atom
DFT total energy ... -8.212 eV/atom

=====

Record 11
This record from Alexandria via LeMat-Bulk describes a relaxed MnAlSe2 crystal. The functional is GGA-PBE.

a = 7.357 Å, b = 7.198 Å, c = 3.951 Å
α = 90.00°, β = 117.98°, γ = 90.00°
Space group C2/m (No. 12)
Symmetry-distinct sites (fractional):
Mn 0.000 0.000 0.000 x2
Al 0.000 0.500 0.000 x2
Se 0.250 0.250 0.000 x4

## Properties
E_form (uncorrected) ... -132.6 meV per atom
DFT total energy ... -5.103 eV/atom

=====

Record 12
This record from Alexandria via LeMat-Bulk describes a relaxed LiPb3F crystal. The functional is GGA-PBE.

a = 5.144 Å, b = 5.144 Å, c = 5.144 Å
α = 90.00°, β = 90.00°, γ = 90.00°
Space group Pm-3m (No. 221)
Symmetry-distinct sites (fractional):
Li 0.000 0.000 0.000 x1
Pb 0.000 0.500 0.500 x3
F 0.500 0.500 0.500 x1

## Properties
E_form (uncorrected) ... -509.5 meV per atom
DFT total energy ... -3.492 eV/atom
E above lowest polymorph ... 0.0 kJ per mole of atoms

=====

Record 13
This record from Alexandria via LeMat-Bulk describes a relaxed PaTl2AgO8 crystal. The functional is GGA-PBE.

a = 6.800 Å, b = 6.800 Å, c = 7.876 Å
α = 90.00°, β = 90.00°, γ = 90.00°
Space group I-4m2 (No. 119)
Symmetry-distinct sites (fractional):
Pa 0.000 0.000 0.000 x2
Tl 0.000 0.000 0.500 x2
Tl 0.000 0.500 0.250 x2
Ag 0.000 0.500 0.750 x2
O 0.000 0.189 0.730 x8
O 0.000 0.304 0.043 x8

## Properties
E_form (uncorrected) ... -937.0 meV per atom
DFT total energy ... -5.666 eV/atom

=====

Record 14
This record from Alexandria via LeMat-Bulk describes a relaxed Ca2TaHRu crystal. The functional is GGA-PBE.

a = 5.808 Å, b = 5.808 Å, c = 3.350 Å
α = 90.00°, β = 90.00°, γ = 90.00°
Space group P4/mmm (No. 123)
Symmetry-distinct sites (fractional):
Ca 0.000 0.500 0.000 x2
Ta 0.000 0.000 0.000 x1
H 0.000 0.000 0.500 x1
Ru 0.500 0.500 0.500 x1

## Properties
DFT total energy ... -4.542 eV/atom

=====

Record 15
This record from Alexandria via LeMat-Bulk describes a relaxed NaTlSn crystal. The functional is GGA-PBE.

a = 3.402 Å, b = 4.962 Å, c = 10.132 Å
α = 90.00°, β = 99.22°, γ = 90.00°
Space group P2_1/m (No. 11)
Symmetry-distinct sites (fractional):
Na 0.116 0.250 0.234 x2
Tl 0.290 0.250 0.582 x2
Sn 0.455 0.250 0.913 x2

## Properties
Calculated formation energy ... -0.129 eV/atom
DFT total energy ... -2.692 eV/atom

=====

Record 16
This record from Alexandria via LeMat-Bulk describes a relaxed Zn2FeCu2 crystal. The functional is GGA-PBE.

a = 7.011 Å, b = 7.011 Å, c = 2.706 Å
α = 90.00°, β = 90.00°, γ = 90.00°
Space group P4/mbm (No. 127)
Symmetry-distinct sites (fractional):
Zn 0.133 0.367 0.000 x4
Fe 0.000 0.000 0.000 x2
Cu 0.166 0.666 0.500 x4

## Properties
Calculated formation energy ... 0.151 eV/atom
DFT total energy ... -3.690 eV/atom
E above lowest polymorph ... 2.1 kJ per mole of atoms

=====

Record 17
This record from Alexandria via LeMat-Bulk describes a relaxed TbPr3Zn4 crystal. The functional is GGA-PBE.

a = 3.676 Å, b = 3.676 Å, c = 14.775 Å
α = 90.00°, β = 90.00°, γ = 90.00°
Space group P4/mmm (No. 123)
Symmetry-distinct sites (fractional):
Tb 0.000 0.000 0.000 x1
Pr 0.000 0.000 0.245 x2
Pr 0.000 0.000 0.500 x1
Zn 0.500 0.500 0.113 x2
Zn 0.500 0.500 0.374 x2

## Properties
Calculated formation energy ... -0.304 eV/atom
DFT total energy ... -3.312 eV/atom

=====

Record 18
This record from Alexandria via LeMat-Bulk describes a relaxed La3PrAg3 crystal. The functional is GGA-PBE.

a = 10.742 Å, b = 10.251 Å, c = 7.496 Å
α = 90.00°, β = 90.03°, γ = 90.00°
Space group C2/m (No. 12)
Symmetry-distinct sites (fractional):
La 0.000 0.181 0.000 x4
La 0.000 0.227 0.500 x4
La 0.218 0.000 0.500 x4
Pr 0.191 0.500 0.001 x4
Ag 0.001 0.500 0.695 x4
Ag 0.250 0.249 0.240 x8

## Properties
Calculated formation energy ... -0.129 eV/atom
DFT total energy ... -4.145 eV/atom
E above lowest polymorph ... 0.0 kJ per mole of atoms

=====

Record 19
This record from Alexandria via LeMat-Bulk describes a relaxed Li15Cd2In2 crystal. The functional is GGA-PBE.

a = 8.2822 Å, b = 8.2822 Å, c = 17.4753 Å
α = 90.00°, β = 90.00°, γ = 120.00°
Space group R-3m (No. 166, hexagonal axes)
Symmetry-distinct sites (fractional):
Li 0.0000 0.3024 0.0000 x18
Li 0.0000 0.5000 0.5000 x9
Li 0.0830 0.5415 0.1065 x18
Cd 0.0000 0.0000 0.0915 x6
In 0.0000 0.0000 0.2859 x6

## Properties
Calculated formation energy ... -0.100 eV/atom
DFT total energy ... -1.995 eV/atom

=====

Record 20
This record from Alexandria via LeMat-Bulk describes a relaxed Dy2InRh3 crystal. The functional is GGA-PBE.

a = 4.629 Å, b = 5.455 Å, c = 9.766 Å
α = 90.00°, β = 90.00°, γ = 90.00°
Space group Immm (No. 71)
Symmetry-distinct sites (fractional):
Dy 0.000 0.000 0.178 x4
In 0.000 0.000 0.500 x2
Rh 0.000 0.500 0.146 x4
Rh 0.000 0.500 0.500 x2

## Properties
Calculated formation energy ... -0.466 eV/atom
DFT total energy ... -6.132 eV/atom
E above lowest polymorph ... 31.5 kJ per mole of atoms

=====

Record 21
This record from Alexandria via LeMat-Bulk describes a relaxed LiCu3Te crystal. The functional is GGA-PBE.

a = 4.938 Å, b = 4.938 Å, c = 4.938 Å
α = 90.00°, β = 90.00°, γ = 90.00°
Space group Pm-3m (No. 221)
Symmetry-distinct sites (fractional):
Li 0.000 0.000 0.000 x1
Cu 0.000 0.500 0.500 x3
Te 0.500 0.500 0.500 x1

## Properties
E_form (uncorrected) ... 598.8 meV per atom
DFT total energy ... -2.870 eV/atom
E above lowest polymorph ... 6.8 kJ per mole of atoms

=====

Record 22
This record from Alexandria via LeMat-Bulk describes a relaxed Sr2Mg3Zn6 crystal. The functional is GGA-PBE.

a = 9.879 Å, b = 12.153 Å, c = 4.428 Å
α = 90.00°, β = 90.00°, γ = 90.00°
Space group Cmmm (No. 65)
Symmetry-distinct sites (fractional):
Sr 0.000 0.210 0.000 x4
Mg 0.000 0.500 0.500 x2
Mg 0.206 0.500 0.000 x4
Zn 0.122 0.000 0.500 x4
Zn 0.209 0.345 0.500 x8

## Properties
Calculated formation energy ... -0.126 eV/atom
DFT total energy ... -1.562 eV/atom

=====

Record 23
This record from Alexandria via LeMat-Bulk describes a relaxed NaIrPd3 crystal. The functional is GGA-PBE.

a = 4.909 Å, b = 4.909 Å, c = 4.909 Å
α = 90.00°, β = 90.00°, γ = 90.00°
Space group Pm-3m (No. 221)
Symmetry-distinct sites (fractional):
Na 0.000 0.000 0.000 x1
Ir 0.500 0.500 0.500 x1
Pd 0.000 0.500 0.500 x3

## Properties
Calculated formation energy ... 0.756 eV/atom
DFT total energy ... -4.396 eV/atom
E above lowest polymorph ... 0.0 kJ per mole of atoms

=====

Record 24
This record from Alexandria via LeMat-Bulk describes a relaxed Ba3FeAg crystal. The functional is GGA-PBE.

a = 5.755 Å, b = 5.755 Å, c = 5.755 Å
α = 90.00°, β = 90.00°, γ = 90.00°
Space group Pm-3m (No. 221)
Symmetry-distinct sites (fractional):
Ba 0.000 0.000 0.500 x3
Fe 0.000 0.000 0.000 x1
Ag 0.500 0.500 0.500 x1

## Properties
Calculated formation energy ... 0.414 eV/atom
DFT total energy ... -3.002 eV/atom
E above lowest polymorph ... 0.0 kJ per mole of atoms

=====

Record 25
This record from Alexandria via LeMat-Bulk describes a relaxed Ca2LaAsN crystal. The functional is GGA-PBE.

a = 4.792 Å, b = 4.792 Å, c = 4.994 Å
α = 90.00°, β = 90.00°, γ = 90.00°
Space group P4/mmm (No. 123)
Symmetry-distinct sites (fractional):
Ca 0.000 0.500 0.000 x2
La 0.000 0.000 0.500 x1
As 0.500 0.500 0.500 x1
N 0.000 0.000 0.000 x1

## Properties
E_form (uncorrected) ... -1027.9 meV per atom
DFT total energy ... -5.409 eV/atom